[1]
## Ho4HCS2 (PBE-GGA)

Data for crystalline Ho4HCS2 at its relaxed geometry.

Unit cell a=3.735 b=6.367 c=6.517 alpha=107.81 beta=90.00 gamma=90.00
Element x y z (fractional)
Ho1 0.500 0.232 0.213
Ho2 0.500 0.768 0.787
Ho3 0.000 0.235 0.763
Ho4 0.000 0.765 0.237
H1 0.500 0.500 0.000
C1 0.000 0.000 0.000
S1 0.500 0.000 0.500
S2 0.000 0.500 0.500

Space group: No. 10
Raw total energy in eV per cell: -48.9


[2]
## NaRu4O12 (PBE-GGA)

Data for crystalline NaRu4O12 at its relaxed geometry.

Unit cell a=6.434 b=6.434 c=6.434 alpha=109.47 beta=109.47 gamma=109.47
Element x y z (fractional)
Na1 0.000 0.000 0.000
Ru1 0.000 0.500 0.000
Ru2 0.500 0.000 0.000
Ru3 0.500 0.500 0.500
Ru4 0.000 0.000 0.500
O1 0.796 0.286 0.083
O2 0.286 0.490 0.204
O3 0.917 0.204 0.714
O4 0.286 0.083 0.796
O5 0.083 0.796 0.286
O6 0.714 0.510 0.796
O7 0.490 0.204 0.286
O8 0.510 0.796 0.714
O9 0.714 0.917 0.204
O10 0.796 0.714 0.510
O11 0.204 0.286 0.490
O12 0.204 0.714 0.917

Space group: No. 204
Formation energy from raw total energies in meV per atom: -787


[3]
## Y2TmAl9 (PBE-GGA)

Data for crystalline Y2TmAl9 at its relaxed geometry.

Unit cell a=4.250 b=4.250 c=12.746 alpha=90.00 beta=90.00 gamma=90.00
Element x y z (fractional)
Y1 0.000 0.000 0.332
Y2 0.000 0.000 0.668
Tm1 0.000 0.000 0.000
Al1 0.500 0.500 0.000
Al2 0.500 0.500 0.333
Al3 0.500 0.500 0.667
Al4 0.500 0.000 0.165
Al5 0.500 0.000 0.500
Al6 0.500 0.000 0.835
Al7 0.000 0.500 0.165
Al8 0.000 0.500 0.500
Al9 0.000 0.500 0.835

Space group: No. 123
Calculated formation energy in meV/atom: -418
Relative energy among the computed polymorphs in eV/atom: 0.000


[4]
## TbNd5 (PBE-GGA)

Data for crystalline TbNd5 at its relaxed geometry.

Unit cell a=5.176 b=5.174 c=8.198 alpha=108.40 beta=90.00 gamma=90.00
Element x y z (fractional)
Nd1 0.000 0.666 0.331
Nd2 0.000 0.334 0.669
Nd3 0.500 0.500 0.000
Nd4 0.500 0.166 0.332
Nd5 0.500 0.834 0.668
Tb1 0.000 0.000 0.000

Space group: No. 65
Calculated formation energy in meV/atom: 14


[5]
## SrCdRu2 (PBE-GGA)

Data for crystalline SrCdRu2 at its relaxed geometry.

Unit cell a=5.467 b=5.678 c=2.928 alpha=77.27 beta=85.55 gamma=117.48
Each line ends with the local moment (μB).
Element x y z (fractional)
Cd1 0.500 0.500 0.000  -0.01
Ru1 0.000 0.000 0.000  0.57
Ru2 0.500 0.000 0.500  0.57
Sr1 0.000 0.500 0.500  -0.02

Space group: No. 12
Calculated formation energy in meV/atom: 707


[6]
## K2RbCoSe (PBE-GGA)

Data for crystalline K2RbCoSe at its relaxed geometry.

Unit cell a=5.938 b=6.100 c=5.938 alpha=90.00 beta=90.00 gamma=90.00
Each line ends with the local moment (μB).
Element x y z (fractional)
K1 0.000 0.000 0.500  0.00
K2 0.500 0.000 0.000  0.00
Co1 0.000 0.000 0.000  1.95
Se1 0.500 0.500 0.500  0.01
Rb1 0.000 0.500 0.000  0.01

Space group: No. 123
Formation energy from raw total energies in meV per atom: 328
Relative energy among the computed polymorphs in eV/atom: 0.361


[7]
## AcTmSi (PBE-GGA)

Data for crystalline AcTmSi at its relaxed geometry.

Unit cell a=5.075 b=5.075 c=5.075 alpha=60.00 beta=60.00 gamma=60.00
Element x y z (fractional)
Ac1 0.500 0.500 0.500
Tm1 0.000 0.000 0.000
Si1 0.250 0.250 0.250

Space group: No. 216
Formation energy from raw total energies in meV per atom: -292
Relative energy among the computed polymorphs in eV/atom: 0.151


[8]
## CsTl4Hg6 (PBE-GGA)

Data for crystalline CsTl4Hg6 at its relaxed geometry.

Unit cell a=5.227 b=8.879 c=8.879 alpha=120.00 beta=90.00 gamma=90.00
Element x y z (fractional)
Cs1 0.000 0.333 0.667
Tl1 0.500 0.607 0.530
Tl2 0.500 0.922 0.393
Tl3 0.000 0.000 0.000
Tl4 0.500 0.470 0.078
Hg1 0.500 0.074 0.810
Hg2 0.500 0.190 0.264
Hg3 0.000 0.841 0.577
Hg4 0.000 0.423 0.265
Hg5 0.000 0.735 0.159
Hg6 0.500 0.736 0.926

Space group: No. 174
Calculated formation energy in meV/atom: -77


For reference, density of states at the Fermi level by record: 2.24, 10.72, 4.85, 9.09, 4.45, 0.84, 3.04, 6.36 states/eV/cell.